(1)
A plane-wave DFT calculation with GGA-PBE was carried out for an optimized crystal structure of PrTm3P4.

abc: 6.9530 6.9530 4.0171
angles: 90.00 90.00 109.47
Sites, in units of the cell vectors:
1 Pr 0.0000 0.0000 0.0000
2 Tm 0.0000 0.5000 0.5000
3 Tm 0.5000 0.0000 0.5000
4 Tm 0.5000 0.5000 0.0000
5 P 0.2552 0.7448 0.0000
6 P 0.2604 0.2604 0.5000
7 P 0.7396 0.7396 0.5000
8 P 0.7448 0.2552 0.0000

Total magnetic moment   0.00 Bohr magnetons per cell
SG   Cmmm (65)
ΔE_f   -1.562 eV/atom

=====

(2)
A plane-wave DFT calculation with GGA-PBE was carried out for an optimized crystal structure of PrTm4P5.

abc: 6.9334 6.9334 6.9334
angles: 99.63 99.63 131.72
Sites, in units of the cell vectors:
1 Pr 0.0000 0.0000 0.0000
2 Tm 0.1995 0.3978 0.5973
3 Tm 0.3978 0.8005 0.1983
4 Tm 0.6022 0.1995 0.8017
5 Tm 0.8005 0.6022 0.4027
6 P 0.1027 0.6923 0.7951
7 P 0.3077 0.1027 0.4104
8 P 0.5000 0.5000 0.0000
9 P 0.6923 0.8973 0.5896
10 P 0.8973 0.3077 0.2049

Total magnetic moment   0.00 Bohr magnetons per cell
SG   I4/m (87)
ΔE_f   -1.566 eV/atom

=====

(3)
A plane-wave DFT calculation with GGA-PBE was carried out for an optimized crystal structure of PrTm2UP4.

abc: 6.9176 3.9964 6.9534
angles: 90.00 109.26 90.00
Sites, in units of the cell vectors:
1 Pr 0.0000 0.0000 0.0000
2 Tm 0.5000 0.0000 0.5000
3 Tm 0.5000 0.5000 0.0000
4 U 0.0000 0.5000 0.5000
5 P 0.2533 0.0000 0.7423
6 P 0.2575 0.5000 0.2643
7 P 0.7425 0.5000 0.7357
8 P 0.7467 0.0000 0.2577

Total magnetic moment   2.14 Bohr magnetons per cell
SG   P2/m (10)
ΔE_f   -1.401 eV/atom

=====

(4)
A plane-wave DFT calculation with GGA-PBE was carried out for an optimized crystal structure of Pr2TmUP4.

abc: 7.0156 4.0523 7.0686
angles: 90.00 109.15 90.00
Sites, in units of the cell vectors:
1 Pr 0.0000 0.0000 0.0000
2 Pr 0.5000 0.5000 0.0000
3 Tm 0.0000 0.5000 0.5000
4 U 0.5000 0.0000 0.5000
5 P 0.2483 0.0000 0.7300
6 P 0.2591 0.5000 0.2701
7 P 0.7409 0.5000 0.7299
8 P 0.7517 0.0000 0.2700

Total magnetic moment   2.01 Bohr magnetons per cell
SG   P2/m (10)
ΔE_f   -1.394 eV/atom

=====

(5)
A plane-wave DFT calculation with GGA-PBE was carried out for an optimized crystal structure of PrYTm2P4.

abc: 6.9787 4.0334 6.9811
angles: 90.00 109.48 90.00
Sites, in units of the cell vectors:
1 Pr 0.0000 0.0000 0.0000
2 Y 0.0000 0.5000 0.5000
3 Tm 0.5000 0.0000 0.5000
4 Tm 0.5000 0.5000 0.0000
5 P 0.2580 0.0000 0.7477
6 P 0.2620 0.5000 0.2589
7 P 0.7380 0.5000 0.7411
8 P 0.7420 0.0000 0.2523

Total magnetic moment   0.00 Bohr magnetons per cell
SG   P2/m (10)
ΔE_f   -1.573 eV/atom

=====

(6)
A plane-wave DFT calculation with GGA-PBE was carried out for an optimized crystal structure of Pr2TmZrP4.

abc: 6.9392 4.0047 6.9698
angles: 90.00 109.24 90.00
Sites, in units of the cell vectors:
1 Pr 0.0000 0.0000 0.0000
2 Pr 0.5000 0.5000 0.0000
3 Tm 0.0000 0.5000 0.5000
4 Zr 0.5000 0.0000 0.5000
5 P 0.2497 0.0000 0.7290
6 P 0.2638 0.5000 0.2742
7 P 0.7362 0.5000 0.7258
8 P 0.7503 0.0000 0.2710

Total magnetic moment   0.00 Bohr magnetons per cell
SG   P2/m (10)
ΔE_f   -1.489 eV/atom

=====

(7)
A plane-wave DFT calculation with GGA-PBE was carried out for an optimized crystal structure of PrU6P8.

abc: 7.1603 7.1603 7.1603
angles: 72.43 72.43 72.43
Sites, in units of the cell vectors:
1 Pr 0.0000 0.0000 0.0000
2 U 0.0650 0.6544 0.4687
3 U 0.3456 0.5313 0.9350
4 U 0.4687 0.0650 0.6544
5 U 0.5313 0.9350 0.3456
6 U 0.6544 0.4687 0.0650
7 U 0.9350 0.3456 0.5313
8 P 0.1181 0.3688 0.8137
9 P 0.1863 0.8819 0.6312
10 P 0.3300 0.3300 0.3300
11 P 0.3688 0.8137 0.1181
12 P 0.6312 0.1863 0.8819
13 P 0.6700 0.6700 0.6700
14 P 0.8137 0.1181 0.3688
15 P 0.8819 0.6312 0.1863

Total magnetic moment   0.00 Bohr magnetons per cell
SG   R-3 (148)
ΔE_f   -0.794 eV/atom

=====

(8)
A plane-wave DFT calculation with GGA-PBE was carried out for an optimized crystal structure of Pr2UP3.

abc: 7.1471 7.1471 7.1471
angles: 146.81 132.09 59.53
Sites, in units of the cell vectors:
1 Pr 0.1683 0.1683 0.0000
2 Pr 0.8317 0.8317 0.0000
3 U 0.5000 0.5000 0.0000
4 P 0.0000 0.5000 0.5000
5 P 0.3463 0.8463 0.5000
6 P 0.6537 0.1537 0.5000

Total magnetic moment   2.19 Bohr magnetons per cell
SG   Immm (71)
ΔE_f   -1.318 eV/atom

=====

- The highest ΔE_f belongs to which entry?
  PrU6P8